A plane-wave DFT calculation with PBE-GGA was carried out for a relaxed structure of Tl2InGa2.

Lattice parameters (Å, degrees): 4.5261 6.1209 6.1225 60.07 68.31 68.30
Last column: nearest neighbours and their distance in Å.
Element x y z (fractional)
Tl 0.2926 0.2076 0.7071  6 Ga 3.29-3.30, 4 In 3.60-3.65
Tl 0.7074 0.7924 0.2929  6 Ga 3.29-3.30, 4 In 3.60-3.65
Ga 0.9997 0.7838 0.7168  1 Ga 2.65, 2 In 2.85
Ga 0.0003 0.2162 0.2832  1 Ga 2.65, 2 In 2.85
In 0.5000 0.5000 0.0000  4 Ga 2.85

Values from the calculation:
mass density = 8.28 Mg/m³
SG = No. 71
calculated formation energy = 0.32 eV per formula unit
D(E_F) = 2.3 states/eV/cell
polymorph energy (0 for the lowest one) = 4 meV per atom